[1]
This record from Alexandria via LeMat-Bulk describes a geometry-optimized LaTi2F structure. The functional is PBE.

a = 6.3342 Å, b = 6.3342 Å, c = 6.3342 Å
α = 120.04°, β = 120.04°, γ = 89.93°
Sites, in units of the cell vectors:
La 0.0000 0.0000 0.0000
La 0.7500 0.2500 0.5000
Ti 0.3143 0.6250 0.1893
Ti 0.3750 0.5643 0.6893
Ti 0.4357 0.1250 0.8107
Ti 0.8750 0.6857 0.3107
F 0.2500 0.7500 0.5000
F 0.5000 0.5000 0.0000

Calculated values
The raw formation energy comes out at -520 meV/atom. Its volume is 180 Å³ per cell.

***

[2]
This record from Alexandria via LeMat-Bulk describes a geometry-optimized NaBPb structure. The functional is PBE.

a = 13.4494 Å, b = 3.2315 Å, c = 6.6410 Å
α = 90.00°, β = 90.00°, γ = 90.00°
Sites, in units of the cell vectors:
Na 0.1707 0.2500 0.1770
Na 0.3293 0.7500 0.6770
Na 0.6707 0.2500 0.3230
Na 0.8293 0.7500 0.8230
B 0.0000 0.0000 0.0000
B 0.0000 0.5000 0.0000
B 0.5000 0.0000 0.5000
B 0.5000 0.5000 0.5000
Pb 0.0845 0.7500 0.6398
Pb 0.4155 0.2500 0.1398
Pb 0.5845 0.7500 0.8602
Pb 0.9155 0.2500 0.3602

Calculated values
Its calculated formation energy is 227 meV per atom. Its volume is 289 Å³ per cell.

***

[3]
This record from Alexandria via LeMat-Bulk describes a geometry-optimized Cu2Pd6Pb structure. The functional is PBE.

a = 4.7747 Å, b = 4.7747 Å, c = 8.3760 Å
α = 104.20°, β = 104.20°, γ = 50.14°
Sites, in units of the cell vectors:
Cu 0.1827 0.1827 0.2427
Cu 0.8173 0.8173 0.7573
Pd 0.1628 0.1628 0.8832
Pd 0.1647 0.1647 0.5520
Pd 0.4945 0.4945 0.6663
Pd 0.5055 0.5055 0.3337
Pd 0.8353 0.8353 0.4480
Pd 0.8372 0.8372 0.1168
Pb 0.5000 0.5000 0.0000

Calculated values
Its calculated formation energy is -130 meV per atom. Its volume is 141 Å³ per cell.

***

[4]
This record from Alexandria via LeMat-Bulk describes a geometry-optimized Sc6AlGa3 structure. The functional is PBE.

a = 8.4482 Å, b = 4.7791 Å, c = 10.4120 Å
α = 90.00°, β = 107.23°, γ = 90.00°
Sites, in units of the cell vectors:
Sc 0.0399 0.2500 0.4105
Sc 0.1525 0.7500 0.1769
Sc 0.2497 0.2500 0.9974
Sc 0.3348 0.7500 0.8038
Sc 0.3663 0.2500 0.3245
Sc 0.3973 0.2500 0.6162
Sc 0.6027 0.7500 0.3838
Sc 0.6337 0.7500 0.6755
Sc 0.6652 0.2500 0.1962
Sc 0.7503 0.7500 0.0026
Sc 0.8475 0.2500 0.8231
Sc 0.9601 0.7500 0.5895
Al 0.4532 0.7500 0.1032
Al 0.5468 0.2500 0.8968
Ga 0.0288 0.7500 0.8838
Ga 0.1231 0.2500 0.7108
Ga 0.2799 0.7500 0.4709
Ga 0.7201 0.2500 0.5291
Ga 0.8769 0.7500 0.2892
Ga 0.9712 0.2500 0.1162

Calculated values
Its calculated formation energy is -462 meV per atom. Its volume is 402 Å³ per cell.

***

[5]
This record from Alexandria via LeMat-Bulk describes a geometry-optimized Nd4Tm5Cd structure. The functional is PBE.

a = 3.5989 Å, b = 3.5989 Å, c = 24.0596 Å
α = 90.00°, β = 90.00°, γ = 90.00°
Sites, in units of the cell vectors:
Nd 0.0000 0.0000 0.1040
Nd 0.0000 0.0000 0.3131
Nd 0.0000 0.0000 0.6869
Nd 0.0000 0.0000 0.8960
Tm 0.5000 0.5000 0.0000
Tm 0.5000 0.5000 0.2086
Tm 0.5000 0.5000 0.4172
Tm 0.5000 0.5000 0.5828
Tm 0.5000 0.5000 0.7914
Cd 0.0000 0.0000 0.5000

Calculated values
Its calculated formation energy is -45 meV per atom. Its volume is 312 Å³ per cell.

***

[6]
This record from Alexandria via LeMat-Bulk describes a geometry-optimized SrCSeN2 structure. The functional is PBE.

a = 4.8137 Å, b = 4.8137 Å, c = 6.3299 Å
α = 90.00°, β = 90.00°, γ = 90.00°
Sites, in units of the cell vectors:
Sr 0.0000 0.0000 0.0000
C 0.5000 0.5000 0.5000
Se 0.0000 0.0000 0.5000
N 0.0000 0.5000 0.0000
N 0.5000 0.0000 0.0000

Calculated values
The raw formation energy comes out at 2992 meV/atom. Its volume is 147 Å³ per cell.

***

[7]
This record from Alexandria via LeMat-Bulk describes a geometry-optimized TmPaMnRu structure. The functional is PBE.

a = 4.7585 Å, b = 4.7585 Å, c = 4.7585 Å
α = 60.00°, β = 60.00°, γ = 60.00°
Sites, in units of the cell vectors:
Tm 0.0000 0.0000 0.0000
Pa 0.5000 0.5000 0.5000
Mn 0.7500 0.7500 0.7500
Ru 0.2500 0.2500 0.2500

Calculated values
Its calculated formation energy is -137 meV per atom. Its volume is 76 Å³ per cell.

***

[8]
This record from Alexandria via LeMat-Bulk describes a geometry-optimized TbTl2Bi structure. The functional is PBE.

a = 12.2574 Å, b = 12.2574 Å, c = 12.2574 Å
α = 16.55°, β = 16.55°, γ = 16.55°
Sites, in units of the cell vectors:
Tb 0.0000 0.0000 0.0000
Tl 0.0881 0.0881 0.0881
Tl 0.9119 0.9119 0.9119
Bi 0.5000 0.5000 0.5000

Calculated values
Its calculated formation energy is 101 meV per atom. Its volume is 130 Å³ per cell.

***

Number 1: size of the total moment 0.00 μB/f.u.. Number 2: size of the total moment 0.00 μB/f.u.. Number 3: size of the total moment 0.00 μB/f.u.. Number 4: size of the total moment 0.67 μB/f.u.. Number 5: size of the total moment 0.00 μB/f.u.. Number 6: size of the total moment 1.86 μB/f.u.. Number 7: size of the total moment 0.38 μB/f.u.. Number 8: size of the total moment 0.00 μB/f.u..